Record 1
Density functional theory data (PBE-GGA) for Dy12Y5Pu after structural relaxation.

The space group is C2/m (No. 12) and the conventional cell measures 18.374, 10.627 and 6.133 Å, with angles of 90.00, 109.24 and 90.00 degrees. Symmetry generates all atoms from Dy at (0.000, 0.164, 0.000), Dy at (0.000, 0.330, 0.500), Dy at (0.165, 0.166, 0.500), Dy at (0.167, 0.333, 0.001), Y at (0.000, 0.500, 0.000), Y at (0.165, 0.000, 0.993), Y at (0.167, 0.500, 0.502) and Pu at (0.000, 0.000, 0.500).

The formation energy is 35 meV per atom. The theoretical density is 7751 kg/m3.

Record 2
Density functional theory data (PBE-GGA) for Dy10Y6Pu after structural relaxation.

The space group is P-31m (No. 162) and the conventional cell measures 9.6236, 9.6236 and 6.7936 Å, with angles of 90.00, 90.00 and 120.00 degrees. Symmetry generates all atoms from Dy at (0.0000, 0.2683, 0.1874), Dy at (0.3333, 0.6667, 0.0000), Dy at (0.3333, 0.6667, 0.5000), Y at (0.0000, 0.3778, 0.6995) and Pu at (0.0000, 0.0000, 0.5000).

The formation energy is 161 meV per atom. The theoretical density is 7321 kg/m3.

Record 3
Density functional theory data (PBE-GGA) for Dy3Y8Pu2 after structural relaxation.

The space group is Cmmm (No. 65) and the conventional cell measures 7.448, 20.174 and 5.679 Å, with angles of 90.00, 90.00 and 90.00 degrees. Symmetry generates all atoms from Dy at (0.000, 0.000, 0.000), Dy at (0.225, 0.500, 0.500), Y at (0.000, 0.140, 0.500), Y at (0.000, 0.323, 0.500), Y at (0.218, 0.388, 0.000) and Pu at (0.000, 0.242, 0.000).

The formation energy is 295 meV per atom. The theoretical density is 6564 kg/m3.